(1)
Hf2ZrZnC: relaxed, PBE.

Values from the calculation:
Calculated formation energy ... -0.41 eV per atom
Space group ... P4/mmm, No. 123
DOS at the Fermi energy ... 1.8 states/eV/f.u.

Lattice parameters (Å, degrees): 4.4566 4.4566 4.5297 90.00 90.00 90.00
Closest atoms and distances in Å follow each position.
Element x y z (fractional)
Hf1 0.5000 0.0000 0.0000  2 C 2.23
Hf2 0.0000 0.5000 0.0000  2 C 2.23
Zn1 0.5000 0.5000 0.5000  4 Zr 3.15, 8 Hf 3.18
C1 0.0000 0.0000 0.0000  4 Hf 2.23, 2 Zr 2.26
Zr1 0.0000 0.0000 0.5000  2 C 2.26



(2)
Hf5ZrC4: relaxed, PBE.

Values from the calculation:
Calculated formation energy ... -0.74 eV per atom
Space group ... C2/m, No. 12
DOS at the Fermi energy ... 4.9 states/eV/f.u.

Lattice parameters (Å, degrees): 3.3107 6.6196 7.3219 103.91 103.07 90.00
Closest atoms and distances in Å follow each position.
Element x y z (fractional)
Hf1 0.1650 0.8504 0.3300  4 C 2.29-2.32
Hf2 0.5000 0.5000 0.0000  4 C 2.31
Hf3 0.8350 0.1496 0.6700  4 C 2.29-2.32
Hf4 0.1649 0.3209 0.3297  3 C 2.25-2.26
Hf5 0.8351 0.6791 0.6703  3 C 2.25-2.26
C1 0.0027 0.2585 0.0054  4 Hf 2.25-2.32, 2 Zr 2.37
C2 0.6703 0.0909 0.3405  5 Hf 2.26-2.29, 1 Zr 2.35
C3 0.3297 0.9091 0.6595  5 Hf 2.26-2.29, 1 Zr 2.35
C4 0.9973 0.7415 0.9946  4 Hf 2.25-2.32, 2 Zr 2.37
Zr1 0.5000 0.0000 0.0000  6 C 2.35-2.37



Look up the DOS at the Fermi energy of the second one. 4.9 states/eV/f.u.



Among the records above, which one has the highest calculated formation energy? Hf2ZrZnC